Mg6AlNiO8 (PBE+U, optimized geometry); ΔE to the lowest computed polymorph = 0.0535 eV/atom
1.0
4.1741 0.0000 0.0000
0.0000 4.1741 0.0000
0.0000 0.0000 8.8038
Mg Al Ni O
6 1 1 8
Cartesian
0.0000 0.0000 0.0000 Mg
0.0000 2.0870 2.2549 Mg
0.0000 2.0870 6.5488 Mg
2.0870 0.0000 2.2549 Mg
2.0870 0.0000 6.5488 Mg
2.0870 2.0870 0.0000 Mg
0.0000 0.0000 4.4019 Al
2.0870 2.0870 4.4019 Ni
0.0000 0.0000 2.4740 O
0.0000 0.0000 6.3297 O
0.0000 2.0870 0.0000 O
0.0000 2.0870 4.4019 O
2.0870 0.0000 0.0000 O
2.0870 0.0000 4.4019 O
2.0870 2.0870 2.0170 O
2.0870 2.0870 6.7868 O

MgAlNi2O5 (PBE+U, optimized geometry); DFT total energy = -101.98 eV per cell
1.0
1.4727 -5.8940 0.0000
1.4727 5.8940 0.0000
0.0000 0.0000 10.4381
Mg Al Ni O
2 2 4 10
Cartesian
1.4727 5.0197 5.2190 Mg
1.4727 -5.0197 0.0000 Mg
1.4727 3.1957 0.9113 Al
1.4727 -3.1957 6.1303 Al
1.4727 2.0317 3.2047 Ni
1.4727 0.4918 7.4722 Ni
1.4727 -0.4918 2.2532 Ni
1.4727 -2.0317 8.4237 Ni
1.4727 5.7530 8.6922 O
1.4727 5.0124 1.0374 O
1.4727 2.8777 4.9679 O
1.4727 2.5998 7.6141 O
1.4727 1.3611 1.2305 O
1.4727 -1.3611 6.4495 O
1.4727 -2.5998 2.3951 O
1.4727 -2.8777 10.1869 O
1.4727 -5.0124 6.2564 O
1.4727 -5.7530 3.4732 O

Mg6AlNiO8 (PBE+U, optimized geometry); ΔE to the lowest computed polymorph = 0.0000 eV/atom
1.0
4.1871 0.0000 0.0000
0.0000 4.1871 0.0000
0.0000 0.0000 8.7361
Mg Al Ni O
6 1 1 8
Cartesian
0.0000 0.0000 0.0000 Mg
0.0000 0.0000 4.3680 Mg
0.0000 2.0936 2.1133 Mg
0.0000 2.0936 6.6228 Mg
2.0936 0.0000 2.1133 Mg
2.0936 0.0000 6.6228 Mg
2.0936 2.0936 4.3680 Al
2.0936 2.0936 0.0000 Ni
0.0000 0.0000 2.1865 O
0.0000 0.0000 6.5496 O
0.0000 2.0936 0.0000 O
0.0000 2.0936 4.3680 O
2.0936 0.0000 0.0000 O
2.0936 0.0000 4.3680 O
2.0936 2.0936 2.5525 O
2.0936 2.0936 6.1836 O